Entry from Alexandria via LeMat-Bulk: a relaxed SmDyPu2N4 crystal (PBE-GGA).

abc: 6.0347 3.5085 6.0815
angles: 90.00 109.59 90.00
Positions (direct):
Sm: 0.0000 0.0000 0.0000
Dy: 0.0000 0.5000 0.5000
Pu: 0.5000 0.0000 0.5000
Pu: 0.5000 0.5000 0.0000
N: 0.2618 0.0000 0.7485
N: 0.2659 0.5000 0.2610
N: 0.7341 0.5000 0.7390
N: 0.7382 0.0000 0.2515

Summary:
Total magnetization: 1.18 μB/atom
Space-group type: P2/m
E_form (uncorrected): -1.426 eV per atom
Raw total energy: -82.7 eV/cell